No. 1
Compound: KBa2Br5
Source: Alexandria
Functional: GGA-PBE
Structure: relaxed

Cell: 14.3112 9.5528 8.6048 Å, 90.00 90.00 90.00°
Closest atoms and distances in Å follow each position.
Atoms (fractional coordinates):
1 K 0.0023 0.2500 0.0340  6 Br 3.20-3.32
2 K 0.4977 0.7500 0.5340  6 Br 3.20-3.32
3 K 0.5023 0.2500 0.4660  6 Br 3.20-3.32
4 K 0.9977 0.7500 0.9660  6 Br 3.20-3.32
5 Ba 0.1769 0.0002 0.5202  8 Br 3.22-3.51
6 Ba 0.1769 0.4998 0.5202  8 Br 3.22-3.51
7 Ba 0.3231 0.9998 0.0202  8 Br 3.22-3.51
8 Ba 0.3231 0.5002 0.0202  8 Br 3.22-3.51
9 Ba 0.6769 0.0002 0.9798  8 Br 3.22-3.51
10 Ba 0.6769 0.4998 0.9798  8 Br 3.22-3.51
11 Ba 0.8231 0.9998 0.4798  8 Br 3.22-3.51
12 Ba 0.8231 0.5002 0.4798  8 Br 3.22-3.51
13 Br 0.0006 0.2500 0.4808  4 Ba 3.49, 1 K 3.84, 1 Br 3.87
14 Br 0.1122 0.5175 0.1628  2 K 3.20-3.24, 2 Ba 3.22-3.26
15 Br 0.1122 0.9825 0.1628  2 K 3.20-3.24, 2 Ba 3.22-3.26
16 Br 0.1933 0.2500 0.8141  1 K 3.32, 4 Ba 3.49-3.51
17 Br 0.2085 0.7500 0.8039  1 K 3.32, 4 Ba 3.44-3.45
18 Br 0.2915 0.2500 0.3039  1 K 3.32, 4 Ba 3.44-3.45
19 Br 0.3067 0.7500 0.3141  1 K 3.32, 4 Ba 3.49-3.51
20 Br 0.3878 0.0175 0.6629  2 K 3.20-3.24, 2 Ba 3.22-3.26
21 Br 0.3878 0.4825 0.6629  2 K 3.20-3.24, 2 Ba 3.22-3.26
22 Br 0.4994 0.7500 0.9808  4 Ba 3.49, 1 K 3.84, 1 Br 3.87
23 Br 0.5006 0.2500 0.0192  4 Ba 3.49, 1 K 3.84, 1 Br 3.87
24 Br 0.6122 0.5175 0.3372  2 K 3.20-3.24, 2 Ba 3.22-3.26
25 Br 0.6122 0.9825 0.3372  2 K 3.20-3.24, 2 Ba 3.22-3.26
26 Br 0.6933 0.2500 0.6859  1 K 3.32, 4 Ba 3.49-3.51
27 Br 0.7085 0.7500 0.6961  1 K 3.32, 4 Ba 3.44-3.45
28 Br 0.7915 0.2500 0.1961  1 K 3.32, 4 Ba 3.44-3.45
29 Br 0.8067 0.7500 0.1859  1 K 3.32, 4 Ba 3.49-3.51
30 Br 0.8878 0.0175 0.8372  2 K 3.20-3.24, 2 Ba 3.22-3.26
31 Br 0.8878 0.4825 0.8372  2 K 3.20-3.24, 2 Ba 3.22-3.26
32 Br 0.9994 0.7500 0.5192  4 Ba 3.49, 1 K 3.84, 1 Br 3.87

Results
As for the space-group type: No. 62. For the total magnetic moment, the calculation gives 0.00 μB per cell. As for the density of states at the Fermi level: 0.00 states/eV/cell. Its formation energy from raw total energies is -2047.8 meV/atom.

***

No. 2
Compound: Tb3Pm5H12
Source: Alexandria
Functional: GGA-PBE
Structure: relaxed

Cell: 11.5795 11.5795 11.5795 Å, 109.47 109.47 109.47°
Closest atoms and distances in Å follow each position.
Atoms (fractional coordinates):
1 Tb 0.1250 0.2500 0.3750  8 H 2.28-2.44
2 Tb 0.1250 0.3750 0.7500  8 H 2.28-2.44
3 Tb 0.2500 0.3750 0.1250  8 H 2.28-2.44
4 Tb 0.2500 0.8750 0.6250  8 H 2.28-2.44
5 Tb 0.3750 0.1250 0.2500  8 H 2.28-2.44
6 Tb 0.3750 0.7500 0.1250  8 H 2.28-2.44
7 Tb 0.6250 0.2500 0.8750  8 H 2.28-2.44
8 Tb 0.6250 0.8750 0.7500  8 H 2.28-2.44
9 Tb 0.7500 0.1250 0.3750  8 H 2.28-2.44
10 Tb 0.7500 0.6250 0.8750  8 H 2.28-2.44
11 Tb 0.8750 0.6250 0.2500  8 H 2.28-2.44
12 Tb 0.8750 0.7500 0.6250  8 H 2.28-2.44
13 Pm 0.0000 0.0000 0.0000  6 H 2.30
14 Pm 0.0000 0.0000 0.5000  6 H 2.30
15 Pm 0.0000 0.5000 0.0000  6 H 2.30
16 Pm 0.0000 0.5000 0.5000  6 H 2.30
17 Pm 0.1250 0.7500 0.8750  4 H 2.29
18 Pm 0.1250 0.8750 0.2500  4 H 2.29
19 Pm 0.2500 0.1250 0.8750  4 H 2.29
20 Pm 0.2500 0.6250 0.3750  4 H 2.29
21 Pm 0.3750 0.2500 0.6250  4 H 2.29
22 Pm 0.3750 0.6250 0.7500  4 H 2.29
23 Pm 0.5000 0.0000 0.0000  6 H 2.30
24 Pm 0.5000 0.0000 0.5000  6 H 2.30
25 Pm 0.5000 0.5000 0.0000  6 H 2.30
26 Pm 0.5000 0.5000 0.5000  6 H 2.30
27 Pm 0.6250 0.3750 0.2500  4 H 2.29
28 Pm 0.6250 0.7500 0.3750  4 H 2.29
29 Pm 0.7500 0.3750 0.6250  4 H 2.29
30 Pm 0.7500 0.8750 0.1250  4 H 2.29
31 Pm 0.8750 0.1250 0.7500  4 H 2.29
32 Pm 0.8750 0.2500 0.1250  4 H 2.29
33 H 0.0704 0.7278 0.6572  1 H 2.28, 2 Tb 2.28-2.44, 2 Pm 2.29-2.30
34 H 0.0704 0.8426 0.4132  1 H 2.28, 2 Tb 2.28-2.44, 2 Pm 2.29-2.30
35 H 0.0706 0.2278 0.1574  1 H 2.28, 2 Tb 2.28-2.44, 2 Pm 2.29-2.30
36 H 0.0706 0.3428 0.9132  1 H 2.28, 2 Tb 2.28-2.44, 2 Pm 2.29-2.30
37 H 0.0868 0.6574 0.4296  1 H 2.28, 2 Tb 2.28-2.44, 2 Pm 2.29-2.30
38 H 0.0868 0.9294 0.6572  1 H 2.28, 2 Tb 2.28-2.44, 2 Pm 2.29-2.30
39 H 0.1574 0.0706 0.2278  1 H 2.28, 2 Tb 2.28-2.44, 2 Pm 2.29-2.30
40 H 0.1572 0.2278 0.5704  1 H 2.28, 2 Tb 2.28-2.44, 2 Pm 2.29-2.30
41 H 0.1572 0.4294 0.5868  1 H 2.28, 2 Tb 2.28-2.44, 2 Pm 2.29-2.30
42 H 0.1574 0.5868 0.9296  1 H 2.28, 2 Tb 2.28-2.44, 2 Pm 2.29-2.30
43 H 0.2278 0.1574 0.0706  1 H 2.28, 2 Tb 2.28-2.44, 2 Pm 2.29-2.30
44 H 0.2278 0.5704 0.1572  1 H 2.28, 2 Tb 2.28-2.44, 2 Pm 2.29-2.30
45 H 0.2722 0.3428 0.9296  1 H 2.28, 2 Tb 2.28-2.44, 2 Pm 2.29-2.30
46 H 0.2722 0.4294 0.3426  1 H 2.28, 2 Tb 2.28-2.44, 2 Pm 2.29-2.30
47 H 0.3426 0.2722 0.4294  1 H 2.28, 2 Tb 2.28-2.44, 2 Pm 2.29-2.30
48 H 0.3426 0.5704 0.9132  1 H 2.28, 2 Tb 2.28-2.44, 2 Pm 2.29-2.30
49 H 0.3428 0.9132 0.0706  1 H 2.28, 2 Tb 2.28-2.44, 2 Pm 2.29-2.30
50 H 0.3428 0.9296 0.2722  1 H 2.28, 2 Tb 2.28-2.44, 2 Pm 2.29-2.30
51 H 0.4132 0.0704 0.8426  1 H 2.28, 2 Tb 2.28-2.44, 2 Pm 2.29-2.30
52 H 0.4132 0.8428 0.5706  1 H 2.28, 2 Tb 2.28-2.44, 2 Pm 2.29-2.30
53 H 0.4294 0.3426 0.2722  1 H 2.28, 2 Tb 2.28-2.44, 2 Pm 2.29-2.30
54 H 0.4294 0.5868 0.1572  1 H 2.28, 2 Tb 2.28-2.44, 2 Pm 2.29-2.30
55 H 0.4296 0.0868 0.6574  1 H 2.28, 2 Tb 2.28-2.44, 2 Pm 2.29-2.30
56 H 0.4296 0.8428 0.7722  1 H 2.28, 2 Tb 2.28-2.44, 2 Pm 2.29-2.30
57 H 0.5704 0.1572 0.2278  1 H 2.28, 2 Tb 2.28-2.44, 2 Pm 2.29-2.30
58 H 0.5704 0.9132 0.3426  1 H 2.28, 2 Tb 2.28-2.44, 2 Pm 2.29-2.30
59 H 0.5706 0.4132 0.8428  1 H 2.28, 2 Tb 2.28-2.44, 2 Pm 2.29-2.30
60 H 0.5706 0.6574 0.7278  1 H 2.28, 2 Tb 2.28-2.44, 2 Pm 2.29-2.30
61 H 0.5868 0.1572 0.4294  1 H 2.28, 2 Tb 2.28-2.44, 2 Pm 2.29-2.30
62 H 0.5868 0.9296 0.1574  1 H 2.28, 2 Tb 2.28-2.44, 2 Pm 2.29-2.30
63 H 0.6572 0.0704 0.7278  1 H 2.28, 2 Tb 2.28-2.44, 2 Pm 2.29-2.30
64 H 0.6572 0.0868 0.9294  1 H 2.28, 2 Tb 2.28-2.44, 2 Pm 2.29-2.30
65 H 0.6574 0.4296 0.0868  1 H 2.28, 2 Tb 2.28-2.44, 2 Pm 2.29-2.30
66 H 0.6574 0.7278 0.5706  1 H 2.28, 2 Tb 2.28-2.44, 2 Pm 2.29-2.30
67 H 0.7278 0.5706 0.6574  1 H 2.28, 2 Tb 2.28-2.44, 2 Pm 2.29-2.30
68 H 0.7278 0.6572 0.0704  1 H 2.28, 2 Tb 2.28-2.44, 2 Pm 2.29-2.30
69 H 0.7722 0.4296 0.8428  1 H 2.28, 2 Tb 2.28-2.44, 2 Pm 2.29-2.30
70 H 0.7722 0.8426 0.9294  1 H 2.28, 2 Tb 2.28-2.44, 2 Pm 2.29-2.30
71 H 0.8426 0.4132 0.0704  1 H 2.28, 2 Tb 2.28-2.44, 2 Pm 2.29-2.30
72 H 0.8428 0.5706 0.4132  1 H 2.28, 2 Tb 2.28-2.44, 2 Pm 2.29-2.30
73 H 0.8428 0.7722 0.4296  1 H 2.28, 2 Tb 2.28-2.44, 2 Pm 2.29-2.30
74 H 0.8426 0.9294 0.7722  1 H 2.28, 2 Tb 2.28-2.44, 2 Pm 2.29-2.30
75 H 0.9132 0.0706 0.3428  1 H 2.28, 2 Tb 2.28-2.44, 2 Pm 2.29-2.30
76 H 0.9132 0.3426 0.5704  1 H 2.28, 2 Tb 2.28-2.44, 2 Pm 2.29-2.30
77 H 0.9294 0.6572 0.0868  1 H 2.28, 2 Tb 2.28-2.44, 2 Pm 2.29-2.30
78 H 0.9294 0.7722 0.8426  1 H 2.28, 2 Tb 2.28-2.44, 2 Pm 2.29-2.30
79 H 0.9296 0.1574 0.5868  1 H 2.28, 2 Tb 2.28-2.44, 2 Pm 2.29-2.30
80 H 0.9296 0.2722 0.3428  1 H 2.28, 2 Tb 2.28-2.44, 2 Pm 2.29-2.30

Results
As for the space-group type: No. 230. For the total magnetic moment, the calculation gives 0.00 μB per cell. The value obtained for the raw total energy is -4.34 eV/atom. As for the density of states at the Fermi level: 52.47 states/eV/cell.